Record 1
# BeCdHg2

A geometry-optimized BeCdHg2 structure (GGA-PBE, the Alexandria database).

Cell lengths 5.3309, 5.3309, 5.3309 Å; angles 132.81, 132.81, 68.96 degrees
With the nearest neighbours (Å) after each atom.
Atoms (fractional coordinates):
Hg (0.0000, 0.0000, 0.0000)  4 Be 3.02, 4 Cd 3.06, 4 Hg 3.06
Cd (0.7500, 0.2500, 0.5000)  8 Hg 3.02-3.06, 4 Be 3.06
Be (0.5000, 0.5000, 0.0000)  8 Hg 3.02-3.06, 4 Cd 3.06
Hg (0.2500, 0.7500, 0.5000)  4 Cd 3.02, 4 Hg 3.06, 4 Be 3.06

distance to the lowest polymorph of the same formula = 217 meV/atom
E_tot = -0.064 Ry/atom
energy of formation from the pure elements = 446 meV per atom

=====

Record 2
# Na3AlCr3Se8

A geometry-optimized Na3AlCr3Se8 structure (GGA-PBE, the Alexandria database).

Cell lengths 7.3753, 7.3757, 8.2521 Å; angles 116.54, 90.00, 120.00 degrees
With the nearest neighbours (Å) after each atom.
Atoms (fractional coordinates):
Se (0.7650, 0.5301, 0.3001)  2 Cr 2.55, 1 Al 2.57
Se (0.7324, 0.4647, 0.6971)  3 Cr 2.54
Se (0.7651, 0.0340, 0.2991)  2 Cr 2.55, 1 Al 2.57
Na (0.5000, 0.5000, 0.0000)  6 Se 3.01-3.02
Se (0.2350, 0.4699, 0.6999)  2 Cr 2.55, 1 Al 2.57
Na (0.0000, 0.5000, 0.0000)  6 Se 3.01-3.02
Se (0.2676, 0.5353, 0.3029)  3 Cr 2.54
Se (0.2349, 0.9660, 0.7009)  2 Cr 2.55, 1 Al 2.57
Se (0.2689, 0.0340, 0.2991)  2 Cr 2.55, 1 Al 2.57
Al (0.0000, 0.0000, 0.5000)  6 Se 2.57
Cr (0.0000, 0.5000, 0.5000)  6 Se 2.54-2.55
Cr (0.5000, 0.0000, 0.5000)  6 Se 2.54-2.55
Cr (0.5000, 0.5000, 0.5000)  6 Se 2.54-2.55
Na (0.0000, 0.0000, 0.0000)  6 Se 3.01-3.02
Se (0.7311, 0.9660, 0.7009)  2 Cr 2.55, 1 Al 2.57

E_tot = -0.373 Ry/atom
E_form (uncorrected) = -0.78 eV/atom

=====

Record 3
# Hf2InRu

A geometry-optimized Hf2InRu structure (GGA-PBE, the Alexandria database).

Cell lengths 3.2849, 3.2849, 9.0404 Å; angles 79.53, 79.53, 60.00 degrees
With the nearest neighbours (Å) after each atom.
Atoms (fractional coordinates):
Hf (0.2623, 0.2623, 0.2130)  3 Ru 2.67
Hf (0.7377, 0.7377, 0.7870)  3 Ru 2.67
Ru (0.0000, 0.0000, 0.0000)  6 Hf 2.67
In (0.5000, 0.5000, 0.5000)  6 Hf 3.17, 6 In 3.28

E_tot = -0.603 Ry/atom
energy of formation from the pure elements = -219 meV per atom

=====

Record 4
# Sm8DyGa6

A geometry-optimized Sm8DyGa6 structure (GGA-PBE, the Alexandria database).

Cell lengths 8.7718, 8.7718, 8.0561 Å; angles 57.01, 57.01, 60.00 degrees
With the nearest neighbours (Å) after each atom.
Atoms (fractional coordinates):
Ga (0.7271, 0.3861, 0.8304)  1 Dy 3.08, 7 Sm 3.08-3.18
Ga (0.2729, 0.6139, 0.1696)  1 Dy 3.08, 7 Sm 3.08-3.18
Sm (0.7793, 0.1124, 0.6620)  5 Ga 3.08-3.18
Sm (0.2207, 0.8876, 0.3380)  5 Ga 3.08-3.18
Dy (0.0000, 0.0000, 0.0000)  6 Ga 3.08
Ga (0.0565, 0.7271, 0.8304)  1 Dy 3.08, 7 Sm 3.08-3.18
Sm (0.4463, 0.7793, 0.6620)  5 Ga 3.08-3.18
Sm (0.5537, 0.2207, 0.3380)  5 Ga 3.08-3.18
Ga (0.6139, 0.9435, 0.1696)  1 Dy 3.08, 7 Sm 3.08-3.18
Ga (0.9435, 0.2729, 0.1696)  1 Dy 3.08, 7 Sm 3.08-3.18
Sm (0.6662, 0.6662, 0.0013)  6 Ga 3.12-3.13
Ga (0.3861, 0.0565, 0.8304)  1 Dy 3.08, 7 Sm 3.08-3.18
Sm (0.1124, 0.4463, 0.6620)  5 Ga 3.08-3.18
Sm (0.3338, 0.3338, 0.9987)  6 Ga 3.12-3.13
Sm (0.8876, 0.5537, 0.3380)  5 Ga 3.08-3.18

E_tot = -0.323 Ry/atom
energy of formation from the pure elements = -360 meV per atom

=====

Record 5
# ThB2W

A geometry-optimized ThB2W structure (GGA-PBE, the Alexandria database).

Cell lengths 3.4161, 3.4161, 6.3316 Å; angles 74.35, 74.35, 60.00 degrees
With the nearest neighbours (Å) after each atom.
Atoms (fractional coordinates):
Th (0.5000, 0.5000, 0.5000)  6 B 2.71
B (0.2698, 0.2698, 0.1906)  3 W 2.28
W (0.0000, 0.0000, 0.0000)  6 B 2.28
B (0.7302, 0.7302, 0.8094)  3 W 2.28

E_tot = -0.622 Ry/atom
energy of formation from the pure elements = -28 meV per atom

=====

Record 6
# KUN2

A geometry-optimized KUN2 structure (GGA-PBE, the Alexandria database).

Cell lengths 3.5478, 3.5478, 6.7347 Å; angles 74.73, 74.73, 60.00 degrees
With the nearest neighbours (Å) after each atom.
Atoms (fractional coordinates):
K (0.0000, 0.0000, 0.0000)  6 N 3.00
N (0.2194, 0.2194, 0.3419)  3 U 2.29
N (0.7806, 0.7806, 0.6581)  3 U 2.29
U (0.5000, 0.5000, 0.5000)  6 N 2.29

distance to the lowest polymorph of the same formula = 0 meV/atom
E_tot = -0.606 Ry/atom
E_form (uncorrected) = -0.98 eV/atom

=====

Record 7
# VIn2P

A geometry-optimized VIn2P structure (GGA-PBE, the Alexandria database).

Cell lengths 7.9357, 7.9357, 6.2477 Å; angles 50.57, 50.57, 90.00 degrees
With the nearest neighbours (Å) after each atom.
Atoms (fractional coordinates):
V (0.0000, 0.0000, 0.0000)  2 P 2.75
In (0.1652, 0.6250, 0.2500)  2 P 2.68, 2 In 2.82
In (0.5848, 0.1250, 0.2500)  2 P 2.68, 2 In 2.82
In (0.8750, 0.8348, 0.7500)  2 P 2.68, 2 In 2.82
P (0.2500, 0.7500, 0.5000)  4 In 2.68, 2 V 2.75
V (0.7500, 0.2500, 0.5000)  2 P 2.75
In (0.3750, 0.4152, 0.7500)  2 P 2.68, 2 In 2.82
P (0.5000, 0.5000, 0.0000)  4 In 2.68, 2 V 2.75

E_tot = -0.341 Ry/atom
energy of formation from the pure elements = 367 meV per atom

=====

Record 8
# CaBPBr2

A geometry-optimized CaBPBr2 structure (GGA-PBE, the Alexandria database).

Cell lengths 5.1408, 5.5833, 5.1408 Å; angles 90.00, 90.00, 90.00 degrees
With the nearest neighbours (Å) after each atom.
Atoms (fractional coordinates):
P (0.0000, 0.0000, 0.0000)  4 Br 2.57, 2 Ca 2.79
Br (0.5000, 0.0000, 0.0000)  2 P 2.57
B (0.5000, 0.5000, 0.5000)  4 Ca 3.64, 8 Br 3.79
Br (0.0000, 0.0000, 0.5000)  2 P 2.57
Ca (0.0000, 0.5000, 0.0000)  2 P 2.79

E_tot = -0.207 Ry/atom
E_form (uncorrected) = 0.67 eV/atom

=====

Record 9
# BaGeBr2

A geometry-optimized BaGeBr2 structure (GGA-PBE, the Alexandria database).

Cell lengths 4.6115, 4.6115, 9.4291 Å; angles 75.85, 75.85, 60.00 degrees
With the nearest neighbours (Å) after each atom.
Atoms (fractional coordinates):
Ba (0.0000, 0.0000, 0.0000)  2 Br 3.20
Br (0.8819, 0.8819, 0.3543)  3 Ge 2.97, 1 Ba 3.20
Ge (0.5000, 0.5000, 0.5000)  6 Br 2.97
Br (0.1181, 0.1181, 0.6457)  3 Ge 2.97, 1 Ba 3.20

distance to the lowest polymorph of the same formula = 367 meV/atom
E_tot = -0.216 Ry/atom
E_form (uncorrected) = -0.47 eV/atom

=====

Record 10
# Al3OsS

A geometry-optimized Al3OsS structure (GGA-PBE, the Alexandria database).

Cell lengths 4.7418, 4.7418, 4.7418 Å; angles 90.00, 90.00, 90.00 degrees
With the nearest neighbours (Å) after each atom.
Atoms (fractional coordinates):
Al (0.0000, 0.0000, 0.5000)  2 Os 2.37
S (0.5000, 0.5000, 0.5000)  12 Al 3.35
Al (0.0000, 0.5000, 0.0000)  2 Os 2.37
Os (0.0000, 0.0000, 0.0000)  6 Al 2.37
Al (0.5000, 0.0000, 0.0000)  2 Os 2.37

distance to the lowest polymorph of the same formula = 0 meV/atom
E_tot = -0.374 Ry/atom
E_form (uncorrected) = 0.23 eV/atom

=====

Record 11
# DyHfZr14

A geometry-optimized DyHfZr14 structure (GGA-PBE, the Alexandria database).

Cell lengths 6.3057, 6.3057, 9.9590 Å; angles 90.00, 90.00, 106.90 degrees
With the nearest neighbours (Å) after each atom.
Atoms (fractional coordinates):
Dy (0.6116, 0.3884, 0.5000)  12 Zr 3.12-3.42
Zr (0.1291, 0.2955, 0.0000)  11 Zr 3.11-3.25
Zr (0.7045, 0.8709, 0.0000)  11 Zr 3.11-3.25
Zr (0.3397, 0.0874, 0.7533)  9 Zr 3.02-3.27, 1 Hf 3.08, 1 Dy 3.32
Zr (0.1964, 0.8036, 0.0000)  10 Zr 3.02-3.25
Zr (0.3999, 0.6001, 0.2358)  10 Zr 3.12-3.37, 1 Dy 3.39
Zr (0.8521, 0.1479, 0.7403)  9 Zr 3.11-3.37, 1 Hf 3.13, 1 Dy 3.42
Hf (0.0513, 0.9487, 0.5000)  10 Zr 3.08-3.22
Zr (0.3397, 0.0874, 0.2467)  9 Zr 3.02-3.27, 1 Hf 3.08, 1 Dy 3.32
Zr (0.5373, 0.8776, 0.5000)  7 Zr 3.12-3.26, 2 Dy 3.12-3.25, 2 Hf 3.14-3.22
Zr (0.3999, 0.6001, 0.7642)  10 Zr 3.12-3.37, 1 Dy 3.39
Zr (0.1224, 0.4627, 0.5000)  7 Zr 3.12-3.26, 2 Dy 3.12-3.25, 2 Hf 3.14-3.22
Zr (0.8521, 0.1479, 0.2597)  9 Zr 3.11-3.37, 1 Hf 3.13, 1 Dy 3.42
Zr (0.9126, 0.6603, 0.2467)  9 Zr 3.02-3.27, 1 Hf 3.08, 1 Dy 3.32
Zr (0.9126, 0.6603, 0.7533)  9 Zr 3.02-3.27, 1 Hf 3.08, 1 Dy 3.32
Zr (0.6390, 0.3610, 0.0000)  12 Zr 3.12-3.37

E_tot = -0.612 Ry/atom
energy of formation from the pure elements = 60 meV per atom

=====

Record 12
# Na2Zn4Ag5

A geometry-optimized Na2Zn4Ag5 structure (GGA-PBE, the Alexandria database).

Cell lengths 5.6178, 6.7499, 6.7378 Å; angles 76.81, 65.36, 65.41 degrees
With the nearest neighbours (Å) after each atom.
Atoms (fractional coordinates):
Ag (0.0000, 0.5000, 0.5000)  4 Zn 2.60
Na (0.6893, 0.3100, 0.3114)  6 Zn 2.86-3.18
Zn (0.2452, 0.4208, 0.0888)  5 Ag 2.60-2.89, 1 Zn 2.77, 1 Na 2.86
Ag (0.2475, 0.8169, 0.1830)  4 Zn 2.69-2.89, 3 Ag 2.78-3.00
Zn (0.2455, 0.0898, 0.4192)  5 Ag 2.60-2.89, 1 Zn 2.77, 1 Na 2.87
Ag (0.2475, 0.1831, 0.8170)  4 Zn 2.69-2.89, 3 Ag 2.78-3.00
Na (0.3107, 0.6900, 0.6886)  6 Zn 2.86-3.18
Ag (0.7525, 0.1831, 0.8170)  4 Zn 2.69-2.89, 3 Ag 2.78-3.00
Zn (0.7545, 0.9102, 0.5808)  5 Ag 2.60-2.89, 1 Zn 2.77, 1 Na 2.87
Zn (0.7548, 0.5792, 0.9112)  5 Ag 2.60-2.89, 1 Zn 2.77, 1 Na 2.86
Ag (0.7525, 0.8169, 0.1830)  4 Zn 2.69-2.89, 3 Ag 2.78-3.00

E_tot = -0.147 Ry/atom
energy of formation from the pure elements = -1 meV per atom